1.
Below is an optimized crystal structure of Re3Pb, with properties calculated at the PBE-GGA level.

Output
excess energy over the best structure of this formula in the dataset = 549 meV per atom
total moment = 1.33 μB/f.u.
calculated formation energy = 1.1786 eV/atom
uncorrected energy = -0.3339 hartree per atom

Lattice parameters (Å, degrees): 4.074 4.074 4.074 90.00 90.00 90.00
Atoms (fractional coordinates):
Pb 0.000 0.000 0.000
Re 0.000 0.500 0.500
Re 0.500 0.000 0.500
Re 0.500 0.500 0.000



2.
Below is an optimized crystal structure of Ba2Li3Mg12Cd, with properties calculated at the PBE-GGA level.

Output
total moment = 0.00 μB/f.u.
calculated formation energy = 0.3001 eV/atom
uncorrected energy = -0.0495 hartree per atom

Lattice parameters (Å, degrees): 9.056 9.056 9.056 62.97 62.97 62.97
Atoms (fractional coordinates):
Ba 0.604 0.604 0.604
Ba 0.396 0.396 0.396
Li 0.500 0.000 0.000
Li 0.000 0.500 0.000
Li 0.000 0.000 0.500
Mg 0.333 0.333 0.910
Mg 0.883 0.883 0.371
Mg 0.371 0.883 0.883
Mg 0.910 0.333 0.333
Mg 0.883 0.371 0.883
Mg 0.333 0.910 0.333
Mg 0.667 0.667 0.090
Mg 0.117 0.117 0.629
Mg 0.629 0.117 0.117
Mg 0.090 0.667 0.667
Mg 0.117 0.629 0.117
Mg 0.667 0.090 0.667
Cd 0.000 0.000 0.000



Short version: DOS(E_F) = 6.700, 8.515 states/eV per cell, in the order given.